## CoHgTeO (PBE with a Hubbard U)

Data for crystalline CoHgTeO at its relaxed geometry.

a = 3.906 Å, b = 3.906 Å, c = 11.083 Å
α = 90.00°, β = 90.00°, γ = 90.00°
Fractional positions:
Co 0.250 0.250 0.906
Hg 0.250 0.250 0.396
Te 0.750 0.750 0.852
Hg 0.750 0.750 0.604
Te 0.250 0.250 0.148
O 0.250 0.750 0.500
Co 0.750 0.750 0.094
O 0.750 0.250 0.500

Summary:
SG: P4/nmm
total magnetization: 3.08 μB/cell
electronic total energy: -3.170 eV per atom

***

## CoHgTeO (PBE with a Hubbard U)

Data for crystalline CoHgTeO at its relaxed geometry.

a = 6.105 Å, b = 7.673 Å, c = 7.912 Å
α = 90.00°, β = 90.00°, γ = 90.00°
Fractional positions:
Te 0.474 0.688 0.438
Hg 0.150 0.612 0.184
Co 0.784 0.460 0.783
Te 0.526 0.812 0.938
Hg 0.350 0.112 0.816
Hg 0.850 0.888 0.684
Te 0.026 0.188 0.562
Te 0.974 0.312 0.062
Hg 0.650 0.388 0.316
O 0.003 0.881 0.212
Co 0.716 0.960 0.217
O 0.503 0.119 0.288
Co 0.216 0.040 0.283
O 0.497 0.381 0.788
Co 0.284 0.540 0.717
O 0.997 0.619 0.712

Summary:
SG: P2_12_12_1
total magnetization: 12.08 μB/cell
electronic total energy: -3.644 eV per atom